# 1
A plane-wave DFT calculation with PBE-GGA was carried out for a relaxed NbSiSbI2 crystal.

Cell and atoms, written as POSCAR:
```
NbSiSbI2
1.0
-4.916 1.912 1.444
-1.658 -5.094 1.100
1.759 0.561 5.248
I Sb Nb Si
2 1 1 1
direct
0.000 0.500 0.000 I
0.500 0.000 0.000 I
0.000 0.000 0.500 Sb
0.000 0.000 0.000 Nb
0.500 0.500 0.500 Si
```

Formation energy without anion corrections in eV/atom: 0.777
Offset from the most stable computed form in meV/atom: 0


# 2
A plane-wave DFT calculation with PBE-GGA was carried out for a relaxed Ba2TlCl2 crystal.

Cell and atoms, written as POSCAR:
```
Ba2TlCl2
1.0
-0.452 2.917 3.902
-4.742 0.634 -1.024
-4.479 -4.760 6.107
Tl Ba Cl
1 2 2
direct
0.000 0.000 0.000 Tl
0.367 0.367 0.267 Ba
0.633 0.633 0.733 Ba
0.750 0.250 0.500 Cl
0.250 0.750 0.500 Cl
```

Formation energy without anion corrections in eV/atom: -1.485
Offset from the most stable computed form in meV/atom: 0


# 3
A plane-wave DFT calculation with PBE-GGA was carried out for a relaxed Cd2SiOs crystal.

Cell and atoms, written as POSCAR:
```
Cd2SiOs
1.0
5.581 -0.017 -0.006
2.620 4.927 0.006
-3.501 -3.458 2.634
Cd Os Si
2 1 1
direct
0.015 0.015 0.000 Cd
0.728 0.228 0.500 Cd
0.468 0.468 0.000 Os
0.288 0.788 0.500 Si
```

Formation energy without anion corrections in eV/atom: 0.348


# 4
A plane-wave DFT calculation with PBE-GGA was carried out for a relaxed TePb3Se crystal.

Cell and atoms, written as POSCAR:
```
TePb3Se
1.0
5.720 0.000 0.000
0.000 5.720 0.000
0.000 0.000 5.720
Pb Te Se
3 1 1
direct
0.000 0.500 0.000 Pb
0.000 0.000 0.500 Pb
0.500 0.000 0.000 Pb
0.500 0.500 0.500 Te
0.000 0.000 0.000 Se
```

Formation energy without anion corrections in eV/atom: 0.141
Offset from the most stable computed form in meV/atom: 0


# 5
A plane-wave DFT calculation with PBE-GGA was carried out for a relaxed Ac8OsAu2 crystal.

Cell and atoms, written as POSCAR:
```
Ac8OsAu2
1.0
4.185 0.000 -0.889
-0.127 9.787 -0.596
0.008 0.096 10.333
Ac Os Au
8 1 2
direct
0.595 0.522 0.189 Ac
0.353 0.016 0.706 Ac
0.226 0.331 0.452 Ac
0.992 0.796 0.984 Ac
0.774 0.669 0.548 Ac
0.647 0.984 0.294 Ac
0.405 0.478 0.811 Ac
0.008 0.204 0.016 Ac
0.500 0.000 0.000 Os
0.161 0.737 0.323 Au
0.839 0.263 0.677 Au
```

E_tot in eV per atom: -4.9036


# 6
A plane-wave DFT calculation with PBE-GGA was carried out for a relaxed Hf2TiHAu crystal.

Cell and atoms, written as POSCAR:
```
Hf2TiHAu
1.0
4.358 0.000 0.000
0.000 4.358 0.000
0.000 0.000 4.128
Hf Au H Ti
2 1 1 1
direct
0.000 0.500 0.000 Hf
0.500 0.000 0.000 Hf
0.500 0.500 0.500 Au
0.000 0.000 0.000 H
0.000 0.000 0.500 Ti
```

E_tot in eV per atom: -7.1954


# 7
A plane-wave DFT calculation with PBE-GGA was carried out for a relaxed TbPr2Sm6Y crystal.

Cell and atoms, written as POSCAR:
```
TbPr2Sm6Y
1.0
-0.875 -7.296 -6.612
0.661 -5.482 7.030
-7.969 3.603 -1.853
Tb Pr Sm Y
2 4 12 2
direct
0.250 0.982 0.018 Tb
0.750 0.018 0.982 Tb
0.459 0.806 0.704 Pr
0.041 0.296 0.194 Pr
0.541 0.194 0.296 Pr
0.959 0.704 0.806 Pr
0.056 0.123 0.748 Sm
0.444 0.252 0.877 Sm
0.944 0.877 0.252 Sm
0.556 0.748 0.123 Sm
0.313 0.979 0.424 Sm
0.187 0.576 0.021 Sm
0.687 0.021 0.576 Sm
0.813 0.424 0.979 Sm
0.121 0.708 0.499 Sm
0.379 0.501 0.292 Sm
0.879 0.292 0.501 Sm
0.621 0.499 0.708 Sm
0.250 0.407 0.593 Y
0.750 0.593 0.407 Y
```

E_tot in eV per atom: -4.7840


# 8
A plane-wave DFT calculation with PBE-GGA was carried out for a relaxed ScTl3Cr2Te6 crystal.

Cell and atoms, written as POSCAR:
```
ScTl3Cr2Te6
1.0
-4.702 -4.263 3.414
1.448 -1.104 -6.973
7.020 -3.110 3.211
Sc Tl Cr Te
1 3 2 6
direct
0.000 0.000 0.000 Sc
0.160 0.840 0.500 Tl
0.840 0.160 0.500 Tl
0.500 0.500 0.500 Tl
0.333 0.667 0.000 Cr
0.667 0.333 0.000 Cr
0.935 0.586 0.807 Te
0.714 0.714 0.187 Te
0.065 0.414 0.193 Te
0.586 0.935 0.807 Te
0.286 0.286 0.813 Te
0.414 0.065 0.193 Te
```

Formation energy without anion corrections in eV/atom: -0.449


# 9
A plane-wave DFT calculation with PBE-GGA was carried out for a relaxed CsVH crystal.

Cell and atoms, written as POSCAR:
```
CsVH
1.0
-0.944 -3.397 0.276
2.594 1.284 2.015
-8.398 3.053 8.863
Cs H V
2 2 2
direct
0.272 0.544 0.839 Cs
0.272 0.544 0.161 Cs
0.606 0.212 0.000 H
0.285 0.570 0.500 H
0.616 0.231 0.427 V
0.616 0.231 0.573 V
```

E_tot in eV per atom: -3.7220


# 10
A plane-wave DFT calculation with PBE-GGA was carried out for a relaxed Tl2Ag2Ge crystal.

Cell and atoms, written as POSCAR:
```
Tl2Ag2Ge
1.0
-5.000 6.160 2.058
1.077 -1.775 7.930
2.784 2.220 0.119
Tl Ge Ag
4 2 4
direct
0.326 0.826 0.000 Tl
0.826 0.674 0.000 Tl
0.674 0.174 0.000 Tl
0.174 0.326 0.000 Tl
0.000 0.000 0.000 Ge
0.500 0.500 0.000 Ge
0.124 0.624 0.500 Ag
0.624 0.876 0.500 Ag
0.876 0.376 0.500 Ag
0.376 0.124 0.500 Ag
```

Offset from the most stable computed form in meV/atom: 125


# 11
A plane-wave DFT calculation with PBE-GGA was carried out for a relaxed AlAs2Pb crystal.

Cell and atoms, written as POSCAR:
```
AlAs2Pb
1.0
-2.032 -0.399 -3.353
-1.071 -3.599 -1.198
-6.836 -0.804 1.855
Pb As Al
1 2 1
direct
0.750 0.750 0.750 Pb
0.982 0.982 0.049 As
0.518 0.518 0.451 As
0.250 0.250 0.250 Al
```

Offset from the most stable computed form in meV/atom: 24


# 12
A plane-wave DFT calculation with PBE-GGA was carried out for a relaxed RbSrAu crystal.

Cell and atoms, written as POSCAR:
```
RbSrAu
1.0
-4.009 -1.983 -0.270
2.364 -0.234 3.799
-7.121 13.683 5.272
Au Rb Sr
2 2 2
direct
0.000 0.000 0.000 Au
0.333 0.667 0.500 Au
0.000 0.000 0.362 Rb
0.000 0.000 0.638 Rb
0.333 0.667 0.883 Sr
0.333 0.667 0.117 Sr
```

E_tot in eV per atom: -2.2688


# 13
A plane-wave DFT calculation with PBE-GGA was carried out for a relaxed Sb3MoS crystal.

Cell and atoms, written as POSCAR:
```
Sb3MoS
1.0
5.114 0.000 0.000
0.000 5.114 0.000
0.000 0.000 5.114
Sb Mo S
3 1 1
direct
0.000 0.500 0.000 Sb
0.000 0.000 0.500 Sb
0.500 0.000 0.000 Sb
0.500 0.500 0.500 Mo
0.000 0.000 0.000 S
```

Formation energy without anion corrections in eV/atom: 1.009
Offset from the most stable computed form in meV/atom: 536


# 14
A plane-wave DFT calculation with PBE-GGA was carried out for a relaxed CuOsRu2 crystal.

Cell and atoms, written as POSCAR:
```
CuOsRu2
1.0
2.646 -0.001 0.000
-1.226 2.345 0.000
0.000 0.000 9.110
Cu Os Ru
1 1 2
direct
0.500 0.500 0.250 Cu
0.500 0.500 0.750 Os
0.000 0.000 0.003 Ru
0.000 0.000 0.497 Ru
```

E_tot in eV per atom: -7.9784


# 15
A plane-wave DFT calculation with PBE-GGA was carried out for a relaxed BeTePb2 crystal.

Cell and atoms, written as POSCAR:
```
BeTePb2
1.0
6.105 0.020 0.171
4.985 3.523 0.171
2.975 0.951 5.228
Pb Be Te
2 1 1
direct
0.929 0.929 0.029 Pb
0.768 0.768 0.697 Pb
0.211 0.211 0.409 Be
0.592 0.592 0.365 Te
```

Formation energy without anion corrections in eV/atom: 0.159
Offset from the most stable computed form in meV/atom: 6


# 16
A plane-wave DFT calculation with PBE-GGA was carried out for a relaxed CeHgPd crystal.

Cell and atoms, written as POSCAR:
```
CeHgPd
1.0
-4.236 -4.945 -4.298
4.552 -2.719 5.725
-2.973 0.348 2.529
Ce Hg Pd
3 3 3
direct
0.400 0.400 0.500 Ce
0.600 0.000 0.500 Ce
0.000 0.600 0.500 Ce
0.736 0.736 0.000 Hg
0.264 0.000 0.000 Hg
0.000 0.264 0.000 Hg
0.667 0.333 0.000 Pd
0.333 0.667 0.000 Pd
0.000 0.000 0.500 Pd
```

Offset from the most stable computed form in meV/atom: 0


# 17
A plane-wave DFT calculation with PBE-GGA was carried out for a relaxed BaBr crystal.

Cell and atoms, written as POSCAR:
```
BaBr
1.0
12.451 0.000 0.000
-6.225 10.783 0.000
0.000 0.000 5.545
Ba Br
6 6
direct
0.856 0.318 0.250 Ba
0.539 0.856 0.750 Ba
0.682 0.539 0.250 Ba
0.144 0.682 0.750 Ba
0.461 0.144 0.250 Ba
0.318 0.461 0.750 Ba
0.650 0.020 0.250 Br
0.630 0.650 0.750 Br
0.980 0.630 0.250 Br
0.350 0.980 0.750 Br
0.370 0.350 0.250 Br
0.020 0.370 0.750 Br
```

Formation energy without anion corrections in eV/atom: -1.444


# 18
A plane-wave DFT calculation with PBE-GGA was carried out for a relaxed Ce12Ga6Rh crystal.

Cell and atoms, written as POSCAR:
```
Ce12Ga6Rh
1.0
7.537 0.625 0.749
-0.525 7.544 0.749
-0.525 -0.611 7.557
Ce Ga Rh
12 6 1
direct
0.791 0.499 0.414 Ce
0.414 0.791 0.499 Ce
0.499 0.414 0.791 Ce
0.209 0.501 0.586 Ce
0.586 0.209 0.501 Ce
0.501 0.586 0.209 Ce
0.070 0.149 0.371 Ce
0.851 0.629 0.930 Ce
0.629 0.930 0.851 Ce
0.930 0.851 0.629 Ce
0.149 0.371 0.070 Ce
0.371 0.070 0.149 Ce
0.755 0.905 0.252 Ga
0.748 0.245 0.095 Ga
0.095 0.748 0.245 Ga
0.245 0.095 0.748 Ga
0.252 0.755 0.905 Ga
0.905 0.252 0.755 Ga
0.000 0.000 0.000 Rh
```

E_tot in eV per atom: -5.3971


# 19
A plane-wave DFT calculation with PBE-GGA was carried out for a relaxed Cs2NaPtC crystal.

Cell and atoms, written as POSCAR:
```
Cs2NaPtC
1.0
-3.080 4.481 3.727
-4.781 -1.666 -1.949
-0.465 -4.391 4.895
Cs Na C Pt
2 1 1 1
direct
0.000 0.000 0.500 Cs
0.500 0.000 0.000 Cs
0.000 0.500 0.000 Na
0.500 0.500 0.500 C
0.000 0.000 0.000 Pt
```

E_tot in eV per atom: -2.5698


# 20
A plane-wave DFT calculation with PBE-GGA was carried out for a relaxed Na2Zr2CrTe6 crystal.

Cell and atoms, written as POSCAR:
```
Na2Zr2CrTe6
1.0
7.018 -0.027 0.045
-3.492 6.087 0.045
-1.272 -2.187 7.761
Na Zr Cr Te
2 2 1 6
direct
0.830 0.170 0.000 Na
0.170 0.830 0.000 Na
0.329 0.671 0.500 Zr
0.671 0.329 0.500 Zr
0.000 0.000 0.500 Cr
0.754 0.754 0.713 Te
0.082 0.396 0.719 Te
0.246 0.246 0.287 Te
0.396 0.082 0.719 Te
0.918 0.604 0.281 Te
0.604 0.918 0.281 Te
```

Formation energy without anion corrections in eV/atom: -0.741


# 21
A plane-wave DFT calculation with PBE-GGA was carried out for a relaxed Mg6SbC crystal.

Cell and atoms, written as POSCAR:
```
Mg6SbC
1.0
-0.980 6.418 -1.314
-6.163 -2.252 -0.907
-0.755 0.620 3.594
Mg Sb C
6 1 1
direct
0.891 0.589 0.500 Mg
0.411 0.109 0.500 Mg
0.717 0.947 0.000 Mg
0.053 0.283 0.000 Mg
0.626 0.374 0.000 Mg
0.154 0.846 0.000 Mg
0.383 0.617 0.500 Sb
0.764 0.236 0.500 C
```

Formation energy without anion corrections in eV/atom: 0.243
Offset from the most stable computed form in meV/atom: 0


# 22
A plane-wave DFT calculation with PBE-GGA was carried out for a relaxed ScTlS crystal.

Cell and atoms, written as POSCAR:
```
ScTlS
1.0
-3.837 3.109 -1.510
-2.447 -2.884 0.278
-2.641 3.603 14.129
Sc Tl S
4 4 4
direct
0.500 0.000 0.319 Sc
0.500 0.000 0.681 Sc
0.000 0.500 0.819 Sc
0.000 0.500 0.181 Sc
0.000 0.000 0.000 Tl
0.500 0.500 0.500 Tl
0.500 0.500 0.000 Tl
0.000 0.000 0.500 Tl
0.000 0.000 0.295 S
0.000 0.000 0.705 S
0.500 0.500 0.795 S
0.500 0.500 0.205 S
```

Formation energy without anion corrections in eV/atom: -1.026
Offset from the most stable computed form in meV/atom: 120


# 23
A plane-wave DFT calculation with PBE-GGA was carried out for a relaxed RbMg crystal.

Cell and atoms, written as POSCAR:
```
RbMg
1.0
2.090 -15.730 0.000
2.090 15.730 0.000
0.000 0.000 4.927
Rb Mg
3 3
direct
0.961 0.039 0.000 Rb
0.724 0.276 0.000 Rb
0.096 0.904 0.500 Rb
0.334 0.666 0.000 Mg
0.394 0.606 0.500 Mg
0.823 0.177 0.500 Mg
```

E_tot in eV per atom: -1.0947


# 24
A plane-wave DFT calculation with PBE-GGA was carried out for a relaxed PaCd4Pd15 crystal.

Cell and atoms, written as POSCAR:
```
PaCd4Pd15
1.0
4.092 0.000 0.000
0.000 4.092 0.000
0.000 0.000 19.917
Pa Cd Pd
1 4 15
direct
0.000 0.000 0.000 Pa
0.000 0.000 0.205 Cd
0.000 0.000 0.401 Cd
0.000 0.000 0.599 Cd
0.000 0.000 0.795 Cd
0.500 0.500 0.000 Pd
0.500 0.500 0.203 Pd
0.500 0.500 0.402 Pd
0.500 0.500 0.598 Pd
0.500 0.500 0.797 Pd
0.500 0.000 0.100 Pd
0.500 0.000 0.303 Pd
0.500 0.000 0.500 Pd
0.500 0.000 0.697 Pd
0.500 0.000 0.900 Pd
0.000 0.500 0.100 Pd
0.000 0.500 0.303 Pd
0.000 0.500 0.500 Pd
0.000 0.500 0.697 Pd
0.000 0.500 0.900 Pd
```

E_tot in eV per atom: -4.9418


no.,DOS(E_F) (states/eV/f.u.)
1,5.1
2,3.8
3,2.0
4,3.0
5,12.8
6,5.4
7,14.5
8,2.4
9,1.0
10,2.7
11,2.3
12,1.1
13,1.4
14,6.0
15,1.6
16,6.7
17,1.3
18,45.0
19,0.0
20,5.1
21,3.3
22,0.8
23,1.0
24,18.8